(1)
Here is a relaxed structure of BeFeRe from Alexandria via LeMat-Bulk. Energies are from GGA-PBEsol.

Properties
Density of states at the Fermi level: 2.6 states/eV per cell
Energy of formation: 180 meV/atom

a = 2.618 Å, b = 2.618 Å, c = 5.844 Å
α = 90.00°, β = 90.00°, γ = 120.00°
Element x y z (fractional)
Be 0.000 0.000 0.000
Fe 0.333 0.667 0.693
Re 0.667 0.333 0.351

---

(2)
Here is a relaxed structure of BeFeRh2 from Alexandria via LeMat-Bulk. Energies are from GGA-PBEsol.

Properties
Density of states at the Fermi level: 3.1 states/eV per cell
Energy of formation: -257 meV/atom

a = 4.027 Å, b = 4.027 Å, c = 2.891 Å
α = 90.00°, β = 90.00°, γ = 90.00°
Element x y z (fractional)
Be 0.000 0.000 0.000
Fe 0.500 0.500 0.000
Rh 0.000 0.500 0.500
Rh 0.500 0.000 0.500

---

(3)
Here is a relaxed structure of BeFeRh2 from Alexandria via LeMat-Bulk. Energies are from GGA-PBEsol.

Properties
Density of states at the Fermi level: 3.5 states/eV per cell
Energy of formation: -302 meV/atom

a = 2.833 Å, b = 2.833 Å, c = 5.796 Å
α = 90.00°, β = 90.00°, γ = 90.00°
Element x y z (fractional)
Be 0.000 0.000 0.000
Fe 0.000 0.000 0.500
Rh 0.500 0.500 0.232
Rh 0.500 0.500 0.768